Material: Cd2CuPdPt
Method: DFT, GGA-PBE
State: optimized geometry

Unit cell a=5.108 b=5.058 c=5.108 alpha=90.00 beta=90.00 gamma=90.00
Positions (direct):
Cd 0.000 0.000 0.500
Cd 0.500 0.000 0.000
Cu 0.500 0.500 0.500
Pd 0.000 0.500 0.000
Pt 0.000 0.000 0.000

Computed properties:
The distance to the lowest polymorph of the same formula comes out at 97 kJ/mol of formula units. For the total energy, the calculation gives -2.734 eV per atom. Its crystal system is tetragonal. As for the space group: P4/mmm (123). As for the formation energy: 336.8 kJ/mol of formula units. The value obtained for the total magnetization is 0.000 μB/atom.



Material: CdCuPd2Pt
Method: DFT, GGA-PBE
State: optimized geometry

Unit cell a=4.951 b=5.053 c=4.951 alpha=90.00 beta=90.00 gamma=90.00
Positions (direct):
Cu 0.500 0.500 0.500
Pd 0.500 0.000 0.000
Pd 0.000 0.000 0.500
Cd 0.000 0.500 0.000
Pt 0.000 0.000 0.000

Computed properties:
For the total energy, the calculation gives -3.323 eV per atom. Its crystal system is tetragonal. As for the space group: P4/mmm (123). As for the formation energy: 465.3 kJ/mol of formula units. The value obtained for the total magnetization is 0.000 μB/atom.



Material: Cd2Cu2Pd5Pt
Method: DFT, GGA-PBE
State: optimized geometry

Unit cell a=3.876 b=9.187 c=9.187 alpha=90.00 beta=90.00 gamma=90.00
Positions (direct):
Pd 0.500 0.579 0.699
Pd 0.500 0.699 0.421
Pd 0.500 0.199 0.079
Pd 0.500 0.000 0.500
Pd 0.500 0.921 0.199
Pd 0.500 0.500 0.000
Pd 0.500 0.801 0.921
Pd 0.500 0.421 0.301
Pd 0.500 0.301 0.579
Pd 0.500 0.079 0.801
Cd 0.000 0.828 0.672
Cd 0.000 0.672 0.172
Cd 0.000 0.172 0.328
Cd 0.000 0.328 0.828
Cu 0.000 0.375 0.125
Cu 0.000 0.625 0.875
Cu 0.000 0.125 0.625
Cu 0.000 0.875 0.375
Pt 0.000 0.500 0.500
Pt 0.000 0.000 0.000

Computed properties:
For the total energy, the calculation gives -4.268 eV per atom. Its crystal system is tetragonal. As for the space group: P4/mbm (127). As for the formation energy: -62.8 kJ/mol of formula units. The value obtained for the total magnetization is 0.000 μB/atom.



Material: Pu2CdCu2Pd5
Method: DFT, GGA-PBE
State: optimized geometry

Unit cell a=3.927 b=9.553 c=9.553 alpha=90.00 beta=90.00 gamma=90.00
Each line ends with the local moment (μB).
Positions (direct):
Cu 0.000 0.621 0.879  -0.02
Cu 0.000 0.379 0.121  -0.02
Cu 0.000 0.121 0.621  -0.02
Cu 0.000 0.879 0.379  -0.02
Pd 0.500 0.707 0.431  -0.04
Pd 0.500 0.793 0.931  -0.04
Pd 0.500 0.293 0.569  -0.04
Pd 0.500 0.207 0.069  -0.04
Pd 0.500 0.500 0.000  -0.05
Pd 0.500 0.431 0.293  -0.04
Pd 0.500 0.000 0.500  -0.05
Pd 0.500 0.931 0.207  -0.04
Pd 0.500 0.069 0.793  -0.04
Pd 0.500 0.569 0.707  -0.04
Pu 0.000 0.175 0.325  5.15
Pu 0.000 0.675 0.175  5.15
Pu 0.000 0.325 0.825  5.15
Pu 0.000 0.825 0.675  5.15
Cd 0.000 0.500 0.500  0.00
Cd 0.000 0.000 0.000  0.00

Computed properties:
For the total energy, the calculation gives -6.758 eV per atom. Its crystal system is tetragonal. As for the space group: P4/mbm (127). As for the formation energy: -370.9 kJ/mol of formula units. The value obtained for the total magnetization is 1.040 μB/atom.



Material: PuCdCuPd
Method: DFT, GGA-PBE
State: optimized geometry

Unit cell a=4.828 b=4.828 c=4.828 alpha=60.00 beta=60.00 gamma=60.00
Each line ends with the local moment (μB).
Positions (direct):
Pd 0.500 0.500 0.500  -0.05
Cu 0.000 0.000 0.000  0.01
Cd 0.750 0.750 0.750  0.01
Pu 0.250 0.250 0.250  5.20

Computed properties:
For the total energy, the calculation gives -6.273 eV per atom. Its crystal system is cubic. As for the space group: F-43m (216). As for the formation energy: -53.7 kJ/mol of formula units. The value obtained for the total magnetization is 1.365 μB/atom.



Material: RbCd2CuPd
Method: DFT, GGA-PBE
State: optimized geometry

Unit cell a=5.309 b=5.309 c=5.041 alpha=90.00 beta=90.00 gamma=90.00
Positions (direct):
Rb 0.500 0.500 0.500
Cu 0.000 0.000 0.500
Cd 0.500 0.000 0.000
Cd 0.000 0.500 0.000
Pd 0.000 0.000 0.000

Computed properties:
The distance to the lowest polymorph of the same formula comes out at 0 kJ/mol of formula units. For the total energy, the calculation gives -2.389 eV per atom. Its crystal system is tetragonal. As for the space group: P4/mmm (123). As for the formation energy: 13.6 kJ/mol of formula units. The value obtained for the total magnetization is 0.000 μB/atom.



Material: RbCd2CuPd
Method: DFT, GGA-PBE
State: optimized geometry

Unit cell a=5.135 b=5.063 c=5.135 alpha=90.00 beta=90.00 gamma=90.00
Positions (direct):
Pd 0.000 0.500 0.000
Cu 0.000 0.000 0.000
Cd 0.000 0.000 0.500
Cd 0.500 0.000 0.000
Rb 0.500 0.500 0.500

Computed properties:
The distance to the lowest polymorph of the same formula comes out at 63 kJ/mol of formula units. For the total energy, the calculation gives -2.259 eV per atom. Its crystal system is tetragonal. As for the space group: P4/mmm (123). As for the formation energy: 76.4 kJ/mol of formula units. The value obtained for the total magnetization is 0.000 μB/atom.



Material: CdCuPdRu2
Method: DFT, GGA-PBE
State: optimized geometry

Unit cell a=4.940 b=4.893 c=4.940 alpha=90.00 beta=90.00 gamma=90.00
Each line ends with the local moment (μB).
Positions (direct):
Ru 0.500 0.000 0.000  1.84
Ru 0.000 0.000 0.500  2.39
Pd 0.000 0.500 0.000  0.20
Cd 0.000 0.000 0.000  0.01
Cu 0.500 0.500 0.500  0.10

Computed properties:
For the total energy, the calculation gives -3.707 eV per atom. Its crystal system is tetragonal. As for the space group: P4/mmm (123). As for the formation energy: 986.1 kJ/mol of formula units. The value obtained for the total magnetization is 0.938 μB/atom.